Entry 1:
5
Lattice="-0.7966 -1.6064 4.5931 4.8578 -0.5315 0.6566 0.2812 4.6312 1.6685" Properties=species:S:1:pos:R:3 comment="Ti3SnTe SCAN single point on PBEsol structure" total_energy_ev_per_cell=-118.85 m_tot_mub_per_cell=4.43 e_above_lowest_polymorph_mev_per_atom=0.0 raw_formation_energy_mev_per_atom=481.5 pbc="T T T"
Te 0.0000 0.0000 0.0000
Sn 2.1712 1.2467 3.4591
Ti 2.4289 -0.2658 0.3283
Ti 0.1406 2.3156 0.8343
Ti -0.3983 -0.8032 2.2965

Entry 2:
6
Lattice="-2.4847 1.4916 -4.7496 1.0351 -2.8169 -4.6851 -3.9345 -3.2474 -2.2205" Properties=species:S:1:pos:R:3 comment="Mg4HgAu SCAN single point on PBEsol structure" total_energy_ev_per_cell=-157.24 m_tot_mub_per_cell=0.00 formation_enthalpy_0k_ev_per_atom=-0.004 pbc="T T T"
Au -4.0380 -3.4296 -8.7414
Hg 0.0000 0.0000 0.0000
Mg -2.0210 -1.7165 -4.3751
Mg -3.9824 -3.3353 -5.4820
Mg -3.2596 -0.9729 -6.7427
Mg -1.5050 -3.1207 -6.7106

Entry 3:
16
Lattice="4.6634 0.0000 0.0000 0.0000 7.0959 0.0000 0.0000 0.0000 7.6340" Properties=species:S:1:pos:R:3 comment="Al3Ir SCAN single point on PBEsol structure" total_energy_ev_per_cell=-390.56 m_tot_mub_per_cell=0.00 formation_enthalpy_0k_ev_per_atom=-0.822 pbc="T T T"
Ir 2.6009 6.1447 5.7255
Ir 0.2692 4.4992 1.9085
Ir 4.3942 2.5967 5.7255
Ir 2.0625 0.9512 1.9085
Al 0.3100 0.0908 5.7255
Al 2.6416 3.4572 1.9085
Al 2.0217 3.6388 5.7255
Al 4.3534 7.0052 1.9085
Al 2.7983 1.1826 7.1355
Al 0.4666 2.3654 0.4985
Al 4.1968 4.7306 4.3155
Al 1.8651 5.9133 3.3185
Al 1.8651 5.9133 0.4985
Al 4.1968 4.7306 7.1355
Al 0.4666 2.3654 3.3185
Al 2.7983 1.1826 4.3155

Entry 4:
34
Lattice="-6.1245 0.9096 2.4418 -0.6782 -10.2165 -2.1826 4.3326 -2.8347 11.9230" Properties=species:S:1:pos:R:3 comment="K2Sn3Sb2S10 SCAN single point on PBEsol structure" total_energy_ev_per_cell=-611.19 m_tot_mub_per_cell=0.00 raw_formation_energy_mev_per_atom=-610.1 pbc="T T T"
K -1.5264 -8.9732 3.0489
K -4.9128 -2.9762 3.5357
K -0.9437 -3.1685 9.1333
K 2.4428 -9.1655 8.6466
Sn -3.0622 0.4548 1.2209
Sn 1.8272 -6.5256 4.8702
Sn -3.5742 -6.3866 0.5123
Sn 1.5459 -2.8577 5.1126
Sn 1.1041 -5.7551 11.6700
Sn -4.0160 -9.2840 7.0697
Sb -5.5426 -8.9703 2.1117
Sb -1.3387 -4.8420 4.1906
Sb 3.0725 -3.1713 10.0706
Sb -1.1314 -7.2997 7.9916
S -3.0859 -0.3256 3.6409
S 0.2155 -6.2671 2.9204
S 0.6159 -11.8160 8.5413
S -2.6856 -5.8746 9.2619
S -1.2686 -10.9275 11.6726
S 0.1876 -5.0013 6.1901
S -1.2015 -1.2142 0.5096
S -2.6577 -7.1403 5.9921
S -0.4834 -4.2028 12.5999
S 0.5307 -8.6477 5.5847
S -1.9867 -7.9388 -0.4176
S -3.0008 -3.4939 6.5975
S -4.1477 -6.9668 2.7809
S -0.3717 -2.5585 3.6824
S 1.6776 -5.1748 9.4013
S -2.0984 -9.5831 8.4999
S -0.4516 -7.6401 11.0252
S 1.6969 -2.1669 7.4477
S -2.0185 -4.5015 1.1571
S -4.1670 -9.9747 4.7345

Entry 5:
64
Lattice="8.4329 0.0000 0.0000 0.0000 8.5022 0.0000 0.0000 0.0000 8.5022" Properties=species:S:1:pos:R:3 comment="CaMg30CuO32 SCAN single point on PBEsol structure" total_energy_ev_per_cell=-561.05 m_tot_mub_per_cell=1.00 raw_formation_energy_mev_per_atom=-2930.8 pbc="T T T"
Ca 0.0000 0.0000 0.0000
Mg 0.0000 4.2511 0.0000
Mg 4.2164 4.2511 0.0000
Mg 0.0000 0.0000 4.2511
Mg 4.2164 0.0000 4.2511
Mg 0.0000 4.2511 4.2511
Mg 4.2164 4.2511 4.2511
Mg 2.1444 2.1586 0.0000
Mg 6.2885 2.1586 0.0000
Mg 2.1444 6.3437 0.0000
Mg 6.2885 6.3437 0.0000
Mg 2.1138 2.1290 4.2511
Mg 6.3191 2.1290 4.2511
Mg 2.1138 6.3733 4.2511
Mg 6.3191 6.3733 4.2511
Mg 2.1444 0.0000 2.1586
Mg 6.2885 0.0000 2.1586
Mg 2.1138 4.2511 2.1290
Mg 6.3191 4.2511 2.1290
Mg 2.1444 0.0000 6.3437
Mg 6.2885 0.0000 6.3437
Mg 2.1138 4.2511 6.3733
Mg 6.3191 4.2511 6.3733
Mg 0.0000 2.1499 2.1499
Mg 4.2164 2.1199 2.1199
Mg 0.0000 6.3524 2.1499
Mg 4.2164 6.3823 2.1199
Mg 0.0000 2.1499 6.3524
Mg 4.2164 2.1199 6.3823
Mg 0.0000 6.3524 6.3524
Mg 4.2164 6.3823 6.3823
Cu 4.2164 0.0000 0.0000
O 0.0000 0.0000 2.2196
O 4.2164 0.0000 2.1982
O 0.0000 4.2511 2.1423
O 4.2164 4.2511 2.1350
O 0.0000 0.0000 6.2827
O 4.2164 0.0000 6.3041
O 0.0000 4.2511 6.3599
O 4.2164 4.2511 6.3673
O 2.1078 2.1207 2.1207
O 6.3251 2.1207 2.1207
O 2.1078 6.3815 2.1207
O 6.3251 6.3815 2.1207
O 2.1078 2.1207 6.3815
O 6.3251 2.1207 6.3815
O 2.1078 6.3815 6.3815
O 6.3251 6.3815 6.3815
O 2.2507 0.0000 0.0000
O 6.1821 0.0000 0.0000
O 2.1157 4.2511 0.0000
O 6.3172 4.2511 0.0000
O 2.1157 0.0000 4.2511
O 6.3172 0.0000 4.2511
O 2.1096 4.2511 4.2511
O 6.3233 4.2511 4.2511
O 0.0000 2.2196 0.0000
O 4.2164 2.1982 0.0000
O 0.0000 6.2827 0.0000
O 4.2164 6.3041 0.0000
O 0.0000 2.1423 4.2511
O 4.2164 2.1350 4.2511
O 0.0000 6.3599 4.2511
O 4.2164 6.3673 4.2511

Entry 6:
4
Lattice="-2.1361 -1.7413 0.2862 2.2877 -2.7482 0.3548 0.0965 0.8074 5.6323" Properties=species:S:1:pos:R:3 comment="MgBePt2 SCAN single point on PBEsol structure" total_energy_ev_per_cell=-152.39 m_tot_mub_per_cell=0.00 formation_enthalpy_0k_ev_per_atom=-0.670 pbc="T T T"
Be 0.0417 0.3490 2.4345
Mg 0.1492 -1.6304 4.6060
Pt 0.0965 0.8072 5.6309
Pt 0.1054 -1.9968 2.0503

Entry 7:
4
Lattice="2.9346 0.0000 0.0000 1.4673 2.5415 0.0000 1.4673 0.8472 6.4631" Properties=species:S:1:pos:R:3 comment="RuN2Cl SCAN single point on PBEsol structure" total_energy_ev_per_cell=-53.86 m_tot_mub_per_cell=0.00 raw_formation_energy_mev_per_atom=1880.5 pbc="T T T"
Ru 0.0000 0.0000 0.0000
N 4.4020 2.5415 1.7997
N 1.4673 0.8472 4.6634
Cl 2.9346 1.6943 3.2315

Entry 8:
4
Lattice="3.0377 0.0000 0.0000 0.0000 5.3644 0.0000 0.0000 -2.6822 5.8190" Properties=species:S:1:pos:R:3 comment="PbSe2Cl SCAN single point on PBEsol structure" total_energy_ev_per_cell=-124.24 m_tot_mub_per_cell=0.00 raw_formation_energy_mev_per_atom=-80.9 pbc="T T T"
Pb 1.5189 2.6822 0.0000
Se 0.0000 -1.3411 2.9095
Se 0.0000 1.3411 2.9095
Cl 1.5189 0.0000 0.0000